# 1
VASP calculation (PBE-GGA) on a relaxed structure of Tm3CdIn2.

Cell: 5.2501 5.2501 12.8216 Å, 90.00 90.00 120.00°
Atoms (fractional coordinates):
1 Tm 0.0000 0.0000 0.2494
2 Tm 0.0000 0.0000 0.7506
3 Tm 0.3333 0.6667 0.4171
4 Tm 0.3333 0.6667 0.9179
5 Tm 0.6667 0.3333 0.0821
6 Tm 0.6667 0.3333 0.5829
7 Cd 0.3333 0.6667 0.1681
8 Cd 0.6667 0.3333 0.8319
9 In 0.0000 0.0000 0.0000
10 In 0.0000 0.0000 0.5000
11 In 0.3333 0.6667 0.6708
12 In 0.6667 0.3333 0.3292

Summary:
The magnetic moment is 0.00 μB/cell. The value obtained for the final energy is -3.70 eV/atom. As for the excess energy over the best structure of this formula in the dataset: 0.0 meV per atom. Its space-group type is P-3m1 (164). The calculated formation energy comes out at -38.3 kJ per mole of atoms.

***

# 2
VASP calculation (PBE-GGA) on a relaxed structure of SrPdPb2.

Cell: 10.8329 10.8329 10.8329 Å, 153.92 153.92 37.22°
Atoms (fractional coordinates):
1 Sr 0.0000 0.0000 0.0000
2 Sr 0.7500 0.2500 0.5000
3 Pd 0.2500 0.7500 0.5000
4 Pd 0.5000 0.5000 0.0000
5 Pb 0.1954 0.6250 0.0704
6 Pb 0.3750 0.4454 0.5704
7 Pb 0.5546 0.1250 0.9296
8 Pb 0.8750 0.8046 0.4296

Summary:
The magnetic moment is 0.00 μB/cell. The value obtained for the final energy is -3.76 eV/atom. Its space-group type is I-42d (122). The calculated formation energy comes out at -18.1 kJ per mole of atoms.

***

# 3
VASP calculation (PBE-GGA) on a relaxed structure of HfTi2Mn.

Cell: 4.5020 4.5020 4.5020 Å, 60.00 60.00 60.00°
Atoms (fractional coordinates):
1 Hf 0.0000 0.0000 0.0000
2 Ti 0.2500 0.2500 0.2500
3 Ti 0.7500 0.7500 0.7500
4 Mn 0.5000 0.5000 0.5000

Summary:
The magnetic moment is 0.00 μB/cell. The value obtained for the final energy is -8.58 eV/atom. As for the excess energy over the best structure of this formula in the dataset: 291.4 meV per atom. Its space-group type is Fm-3m (225). The calculated formation energy comes out at 14.3 kJ per mole of atoms.

***

# 4
VASP calculation (PBE-GGA) on a relaxed structure of AlSnRu2.

Cell: 4.3939 4.3939 3.1490 Å, 90.00 90.00 90.00°
Atoms (fractional coordinates):
1 Al 0.0000 0.0000 0.0000
2 Sn 0.5000 0.5000 0.0000
3 Ru 0.0000 0.5000 0.5000
4 Ru 0.5000 0.0000 0.5000

Summary:
The magnetic moment is 0.00 μB/cell. The value obtained for the final energy is -6.94 eV/atom. Its space-group type is P4/mmm (123). The calculated formation energy comes out at -35.5 kJ per mole of atoms.

***

# 5
VASP calculation (PBE-GGA) on a relaxed structure of Zn2FeTe.

Cell: 7.0094 7.0094 7.0094 Å, 96.33 96.33 141.22°
Atoms (fractional coordinates):
1 Zn 0.3750 0.1241 0.2491
2 Zn 0.8741 0.6250 0.7491
3 Zn 0.8750 0.1259 0.7509
4 Zn 0.8759 0.1250 0.2509
5 Fe 0.0000 0.0000 0.0000
6 Fe 0.7500 0.2500 0.5000
7 Te 0.2500 0.7500 0.5000
8 Te 0.5000 0.5000 0.0000

Summary:
The magnetic moment is 0.00 μB/cell. The value obtained for the final energy is -3.16 eV/atom. Its space-group type is I-42d (122). The uncorrected formation energy is 0.38 eV per atom.

***

# 6
VASP calculation (PBE-GGA) on a relaxed structure of Sn4HgBi.

Cell: 9.9764 6.6561 6.6561 Å, 63.16 90.00 90.00°
Atoms (fractional coordinates):
1 Sn 0.0171 0.2415 0.7585
2 Sn 0.2500 0.4351 0.3504
3 Sn 0.2500 0.9001 0.9203
4 Sn 0.4829 0.2415 0.7585
5 Sn 0.5171 0.7585 0.2415
6 Sn 0.7500 0.3504 0.4351
7 Sn 0.7500 0.9203 0.9001
8 Sn 0.9829 0.7585 0.2415
9 Hg 0.2500 0.6632 0.6556
10 Hg 0.7500 0.6556 0.6632
11 Bi 0.0000 0.2279 0.2279
12 Bi 0.5000 0.2279 0.2279

Summary:
The magnetic moment is 0.00 μB/cell. The value obtained for the final energy is -3.24 eV/atom. As for the excess energy over the best structure of this formula in the dataset: 0.0 meV per atom. Its space-group type is Ama2 (40). The calculated formation energy comes out at 12.4 kJ per mole of atoms.